No. 1
First-principles (PBE) data for an optimized crystal structure of Be2AgPb, as listed in the Alexandria database.

Properties
For the energy of formation from the pure elements, the calculation gives 0.6027 eV/atom. Its energy is -0.107 Ha/atom.

Unit cell a=5.384 b=5.384 c=5.384 alpha=147.89 beta=122.96 gamma=66.98
Positions (direct):
1 Be 0.016 0.016 0.000
2 Pb 0.489 0.489 0.000
3 Be 0.203 0.703 0.500
4 Ag 0.792 0.292 0.500

***

No. 2
First-principles (PBE) data for an optimized crystal structure of BeAgPb2, as listed in the Alexandria database.

Properties
For the energy of formation from the pure elements, the calculation gives 0.2339 eV/atom. Its energy is -0.120 Ha/atom.

Unit cell a=4.160 b=4.160 c=6.957 alpha=73.48 beta=73.48 gamma=60.01
Positions (direct):
1 Be 0.208 0.208 0.375
2 Ag 0.542 0.542 0.375
3 Pb 0.787 0.787 0.653
4 Pb 0.964 0.964 0.097